{
  "formula": "TbNd2Sm2Ho",
  "functional": "PBE",
  "state": "optimized geometry",
  "sg": "Pmma, No. 51",
  "ef_kj_per_mol_atoms": 5.65,
  "e_tot_ev_per_atom": -4.638,
  "cell": [[-4.890, 0.927, 2.791], [3.038, -2.117, 6.026], [2.815, 9.297, 1.847]],
  "species": ["Nd", "Nd", "Nd", "Nd", "Sm", "Sm", "Sm", "Sm", "Tb", "Tb", "Ho", "Ho"],
  "frac_coords": [[0.000, 0.758, 0.824], [0.500, 0.508, 0.000], [0.000, 0.258, 0.176], [0.500, 0.008, 0.000], [0.000, 0.258, 0.837], [0.500, 0.758, 0.669], [0.500, 0.258, 0.331], [0.000, 0.758, 0.163], [0.500, 0.758, 0.341], [0.500, 0.258, 0.659], [0.000, 0.008, 0.500], [0.000, 0.508, 0.500]]
}